Density functional theory data (meta-GGA SCAN) for a PBEsol-optimized structure of Tl2CdHg.

Its offset from the most stable computed form is 12 meV per atom. Its density of states at the Fermi level is 1.73 states/eV per cell. The value obtained for the formation energy is 0.0295 eV/atom.

Cell: 6.181 6.181 6.181 Å, 146.22 128.23 63.25°
Fractional positions:
Tl 0.000 0.000 0.000
Tl 0.726 0.226 0.500
Cd 0.478 0.478 0.000
Hg 0.254 0.754 0.500

=====

Density functional theory data (meta-GGA SCAN) for a PBEsol-optimized structure of TlCdHg.

Its offset from the most stable computed form is 13 meV per atom. Its density of states at the Fermi level is 1.38 states/eV per cell. The value obtained for the formation energy is 0.0336 eV/atom.

Cell: 4.904 4.904 3.581 Å, 90.00 90.00 120.00°
Fractional positions:
Tl 0.000 0.000 0.000
Cd 0.333 0.667 0.420
Hg 0.667 0.333 0.581

=====

Density functional theory data (meta-GGA SCAN) for a PBEsol-optimized structure of TlCd2Hg.

Its offset from the most stable computed form is 0 meV per atom. Its density of states at the Fermi level is 1.25 states/eV per cell. The value obtained for the formation energy is 0.0338 eV/atom.

Cell: 3.240 3.240 8.836 Å, 90.00 90.00 90.00°
Fractional positions:
Tl 0.000 0.000 0.000
Cd 0.000 0.000 0.495
Cd 0.500 0.500 0.267
Hg 0.500 0.500 0.728

=====

Density functional theory data (meta-GGA SCAN) for a PBEsol-optimized structure of Tl2CdHg.

Its offset from the most stable computed form is 19 meV per atom. Its density of states at the Fermi level is 1.66 states/eV per cell. The value obtained for the formation energy is 0.0365 eV/atom.

Cell: 3.361 4.353 6.928 Å, 90.00 90.00 90.00°
Fractional positions:
Tl 0.000 0.000 0.000
Tl 0.500 0.500 0.274
Cd 0.000 0.000 0.528
Hg 0.500 0.500 0.746

=====

Density functional theory data (meta-GGA SCAN) for a PBEsol-optimized structure of TlCd2Hg.

Its offset from the most stable computed form is 13 meV per atom. Its density of states at the Fermi level is 1.19 states/eV per cell. The value obtained for the formation energy is 0.0467 eV/atom.

Cell: 4.182 4.728 4.747 Å, 90.00 90.00 90.00°
Fractional positions:
Tl 0.000 0.000 0.000
Cd 0.500 0.000 0.500
Cd 0.500 0.500 0.000
Hg 0.000 0.500 0.500

=====

Density functional theory data (meta-GGA SCAN) for a PBEsol-optimized structure of TlCd2Hg.

Its offset from the most stable computed form is 12 meV per atom. Its density of states at the Fermi level is 1.28 states/eV per cell. The value obtained for the formation energy is 0.0453 eV/atom.

Cell: 5.457 5.457 5.457 Å, 129.71 129.71 73.86°
Fractional positions:
Tl 0.000 0.000 0.000
Cd 0.250 0.750 0.500
Cd 0.750 0.250 0.500
Hg 0.500 0.500 0.000

=====

Density functional theory data (meta-GGA SCAN) for a PBEsol-optimized structure of TlCdHg.

Its offset from the most stable computed form is 22 meV per atom. Its density of states at the Fermi level is 1.13 states/eV per cell. The value obtained for the formation energy is 0.0429 eV/atom.

Cell: 4.843 4.843 4.843 Å, 60.00 60.00 60.00°
Fractional positions:
Tl 0.000 0.000 0.000
Cd 0.500 0.500 0.500
Hg 0.750 0.750 0.750

=====

Density functional theory data (meta-GGA SCAN) for a PBEsol-optimized structure of TlCd2Hg.

Its offset from the most stable computed form is 26 meV per atom. Its density of states at the Fermi level is 1.30 states/eV per cell. The value obtained for the formation energy is 0.0594 eV/atom.

Cell: 5.050 5.050 3.707 Å, 90.00 90.00 90.00°
Fractional positions:
Tl 0.000 0.000 0.000
Cd 0.000 0.500 0.500
Cd 0.500 0.000 0.500
Hg 0.500 0.500 0.000

=====

Density functional theory data (meta-GGA SCAN) for a PBEsol-optimized structure of TlCd2Hg.

Its offset from the most stable computed form is 27 meV per atom. Its density of states at the Fermi level is 1.18 states/eV per cell. The value obtained for the formation energy is 0.0612 eV/atom.

Cell: 5.105 5.105 5.105 Å, 60.00 60.00 60.00°
Fractional positions:
Tl 0.000 0.000 0.000
Cd 0.250 0.250 0.250
Cd 0.750 0.750 0.750
Hg 0.500 0.500 0.500

=====

Density functional theory data (meta-GGA SCAN) for a PBEsol-optimized structure of Tl2CdHg.

Its offset from the most stable computed form is 28 meV per atom. Its density of states at the Fermi level is 1.79 states/eV per cell. The value obtained for the formation energy is 0.0460 eV/atom.

Cell: 3.715 3.715 7.429 Å, 90.00 90.00 90.00°
Fractional positions:
Tl 0.000 0.000 0.250
Tl 0.000 0.000 0.750
Cd 0.500 0.500 0.000
Hg 0.500 0.500 0.500

=====

Density functional theory data (meta-GGA SCAN) for a PBEsol-optimized structure of TlCd2Hg.

Its offset from the most stable computed form is 49 meV per atom. Its density of states at the Fermi level is 1.27 states/eV per cell. The value obtained for the formation energy is 0.0823 eV/atom.

Cell: 5.130 5.130 5.130 Å, 60.00 60.00 60.00°
Fractional positions:
Tl 0.000 0.000 0.000
Cd 0.500 0.500 0.500
Cd 0.750 0.750 0.750
Hg 0.250 0.250 0.250

=====

Density functional theory data (meta-GGA SCAN) for a PBEsol-optimized structure of TlCd2Hg.

Its offset from the most stable computed form is 30 meV per atom. Its density of states at the Fermi level is 2.88 states/eV per cell. The value obtained for the formation energy is 0.0643 eV/atom.

Cell: 6.518 6.518 6.518 Å, 102.46 102.46 124.66°
Fractional positions:
Tl 0.000 0.000 0.000
Tl 0.750 0.250 0.500
Cd 0.139 0.625 0.014
Cd 0.375 0.389 0.514
Cd 0.611 0.125 0.986
Cd 0.875 0.861 0.486
Hg 0.250 0.750 0.500
Hg 0.500 0.500 0.000